5
Lattice="4.663 0.000 0.000 0.000 4.663 0.000 0.000 0.000 4.663" Properties=species:S:1:pos:R:3 comment="Cu3ReGe (PBE, optimized geometry)" total_magnetization_mub_per_cell=0.001 sg="No. 221" de_polymorph_mev_per_atom=184 energy_ev_per_atom=-4.35 n_ef_per_ev_cell=7.56 pbc="T T T"
Cu 0.000 0.000 2.332
Cu 0.000 2.332 0.000
Cu 2.332 0.000 0.000
Re 0.000 0.000 0.000
Ge 2.332 2.332 2.332

16
Lattice="3.568 0.000 0.000 0.000 3.568 0.000 0.000 0.000 18.682" Properties=species:S:1:pos:R:3 comment="Cu2ReGe (PBE, optimized geometry)" total_magnetization_mub_per_cell=2.899 sg="No. 122" energy_ev_per_atom=-5.73 n_ef_per_ev_cell=15.32 pbc="T T T"
Cu 0.876 0.892 2.335
Cu 0.892 2.660 7.006
Cu 0.892 2.692 16.347
Cu 0.908 0.892 11.677
Cu 2.660 2.676 11.677
Cu 2.676 0.876 16.347
Cu 2.676 0.908 7.006
Cu 2.692 2.676 2.335
Re 0.000 0.000 0.000
Re 0.000 1.784 4.671
Re 1.784 0.000 14.012
Re 1.784 1.784 9.341
Ge 0.000 0.000 9.341
Ge 0.000 1.784 14.012
Ge 1.784 0.000 4.671
Ge 1.784 1.784 0.000

5
Lattice="4.829 0.000 0.000 0.000 4.829 0.000 0.000 0.000 4.829" Properties=species:S:1:pos:R:3 comment="CuReGe3 (PBE, optimized geometry)" total_magnetization_mub_per_cell=0.000 sg="No. 221" de_polymorph_mev_per_atom=0 energy_ev_per_atom=-5.50 n_ef_per_ev_cell=0.39 pbc="T T T"
Cu 0.000 0.000 0.000
Re 2.415 2.415 2.415
Ge 0.000 2.415 2.415
Ge 2.415 0.000 2.415
Ge 2.415 2.415 0.000

Short version: energy of formation = 7.6 2.4 2.9 eV/f.u., in the order given.